Entry 1:
The following is a GGA-PBE calculation of crystalline TlVAg2 at its relaxed geometry, from the Alexandria database.

Output
The uncorrected energy is -3.70 eV per atom. For the magnetic moment, the calculation gives 6.98 μB per cell.

abc: 6.1863 6.1863 6.1863
angles: 102.17 102.17 125.34
With the nearest neighbours (Å) after each atom.
Element x y z (fractional)
Tl  0.0000  0.0000  0.0000  2 V 2.84, 4 Ag 2.91
Tl  0.7500  0.2500  0.5000  2 V 2.84, 4 Ag 2.91
V  0.2500  0.7500  0.5000  4 Ag 2.77, 2 Tl 2.84
V  0.5000  0.5000  0.0000  4 Ag 2.77, 2 Tl 2.84
Ag  0.1387  0.6250  0.0137  2 V 2.77, 2 Ag 2.85, 2 Tl 2.91
Ag  0.3750  0.3887  0.5137  2 V 2.77, 2 Ag 2.85, 2 Tl 2.91
Ag  0.6113  0.1250  0.9863  2 V 2.77, 2 Ag 2.85, 2 Tl 2.91
Ag  0.8750  0.8613  0.4863  2 V 2.77, 2 Ag 2.85, 2 Tl 2.91



Entry 2:
The following is a GGA-PBE calculation of crystalline BeAlIn2 at its relaxed geometry, from the Alexandria database.

Output
The calculation puts the energy above the lowest structure with this stoichiometry at 1 meV/atom. The uncorrected energy is -2.94 eV per atom. For the magnetic moment, the calculation gives 0.00 μB per cell.

abc: 4.1942 4.2187 5.0338
angles: 90.00 113.08 90.00
With the nearest neighbours (Å) after each atom.
Element x y z (fractional)
Be  0.0000  0.0000  0.0000  2 Al 2.42, 1 In 2.66
Al  0.8813  0.5000  0.7448  2 Be 2.42
In  0.2922  0.0000  0.5745  3 Be 2.66-2.90
In  0.5764  0.5000  0.1532  3 Al 2.74-2.83, 4 Be 3.05-3.07



Entry 3:
The following is a GGA-PBE calculation of crystalline Ce2PmY3As6 at its relaxed geometry, from the Alexandria database.

Output
The uncorrected energy is -6.84 eV per atom. For the magnetic moment, the calculation gives 1.21 μB per cell.

abc: 7.2351 7.2351 7.2181
angles: 99.61 99.61 119.99
With the nearest neighbours (Å) after each atom.
Element x y z (fractional)
Ce  0.1669  0.8331  0.0000  6 As 2.96
Ce  0.8331  0.1669  0.0000  6 As 2.96
Pm  0.5000  0.5000  0.0000  6 As 2.98
Y  0.0000  0.0000  0.5000  6 As 2.92-2.94
Y  0.3339  0.6661  0.5000  6 As 2.93-2.94
Y  0.6661  0.3339  0.5000  6 As 2.93-2.94
As  0.0794  0.4153  0.7460  3 Y 2.93-2.94, 2 Ce 2.96, 1 Pm 2.98
As  0.2490  0.2490  0.2546  3 Y 2.92-2.94, 2 Ce 2.96, 1 Pm 2.98
As  0.4153  0.0794  0.7460  3 Y 2.93-2.94, 2 Ce 2.96, 1 Pm 2.98
As  0.5847  0.9206  0.2540  3 Y 2.93-2.94, 2 Ce 2.96, 1 Pm 2.98
As  0.7510  0.7510  0.7454  3 Y 2.92-2.94, 2 Ce 2.96, 1 Pm 2.98
As  0.9206  0.5847  0.2540  3 Y 2.93-2.94, 2 Ce 2.96, 1 Pm 2.98



Entry 4:
The following is a GGA-PBE calculation of crystalline KTlS3 at its relaxed geometry, from the Alexandria database.

Output
The calculation puts the energy above the lowest structure with this stoichiometry at 0 meV/atom. The uncorrected energy is -3.64 eV per atom. For the magnetic moment, the calculation gives 0.00 μB per cell. For the formation energy without anion corrections, the calculation gives -228 kJ/mol of formula units.

abc: 5.3634 7.2813 8.5311
angles: 90.00 103.02 90.00
With the nearest neighbours (Å) after each atom.
Element x y z (fractional)
K  0.2091  0.0000  0.3484  6 S 3.19-3.41
K  0.7909  0.5000  0.6516  6 S 3.19-3.41
Tl  0.4622  0.9298  0.8742  4 S 2.53-2.66
Tl  0.5378  0.4298  0.1258  4 S 2.53-2.66
S  0.0533  0.1043  0.7037  1 S 2.05
S  0.2657  0.4412  0.3508  1 S 2.05
S  0.3578  0.5824  0.8576  2 Tl 2.53-2.59
S  0.6422  0.0824  0.1424  2 Tl 2.53-2.59
S  0.7343  0.9412  0.6492  1 S 2.05
S  0.9467  0.6043  0.2963  1 S 2.05



Entry 5:
The following is a GGA-PBE calculation of crystalline YPuBeN3 at its relaxed geometry, from the Alexandria database.

Output
The uncorrected energy is -9.46 eV per atom. For the magnetic moment, the calculation gives 7.98 μB per cell. For the formation energy without anion corrections, the calculation gives -701 kJ/mol of formula units.

abc: 6.8018 3.2883 7.0331
angles: 90.00 98.28 90.00
With the nearest neighbours (Å) after each atom.
Element x y z (fractional)
Y  0.2062  0.2500  0.1647  7 N 2.42-2.59
Y  0.7938  0.7500  0.8353  7 N 2.42-2.59
Pu  0.1867  0.2500  0.6538  6 N 2.23-2.36
Pu  0.8133  0.7500  0.3462  6 N 2.23-2.36
Be  0.4072  0.7500  0.9227  4 N 1.70-1.88
Be  0.5928  0.2500  0.0773  4 N 1.70-1.88
N  0.1442  0.7500  0.4100  3 Pu 2.23-2.36, 2 Y 2.46
N  0.1529  0.7500  0.8823  1 Be 1.71
N  0.4995  0.2500  0.8394  3 Be 1.70-1.88
N  0.5005  0.7500  0.1606  3 Be 1.70-1.88
N  0.8471  0.2500  0.1177  1 Be 1.71
N  0.8558  0.2500  0.5900  3 Pu 2.23-2.36, 2 Y 2.46



Entry 6:
The following is a GGA-PBE calculation of crystalline Y3Ni4B4C3 at its relaxed geometry, from the Alexandria database.

Output
The uncorrected energy is -7.43 eV per atom. For the magnetic moment, the calculation gives 0.00 μB per cell.

abc: 13.0285 13.0285 13.0285
angles: 164.26 164.26 22.33
With the nearest neighbours (Å) after each atom.
Element x y z (fractional)
Y  0.0000  0.0000  0.0000  4 C 2.52
Y  0.2991  0.2991  0.0000  5 C 2.45-2.52
Y  0.7009  0.7009  0.0000  5 C 2.45-2.52
Ni  0.1005  0.6005  0.5000  4 B 2.08-2.11
Ni  0.3995  0.8995  0.5000  4 B 2.08-2.11
Ni  0.6005  0.1005  0.5000  4 B 2.08-2.11
Ni  0.8995  0.3995  0.5000  4 B 2.08-2.11
B  0.1449  0.1449  0.0000  1 C 1.50
B  0.4415  0.4415  0.0000  1 C 1.50
B  0.5585  0.5585  0.0000  1 C 1.50
B  0.8551  0.8551  0.0000  1 C 1.50
C  0.2034  0.2034  0.0000  1 B 1.50
C  0.5000  0.5000  0.0000  2 B 1.50
C  0.7966  0.7966  0.0000  1 B 1.50



Entry 7:
The following is a GGA-PBE calculation of crystalline Ba8SnGe2 at its relaxed geometry, from the Alexandria database.

Output
The uncorrected energy is -2.95 eV per atom. For the magnetic moment, the calculation gives 0.00 μB per cell.

abc: 11.1753 11.1753 8.1956
angles: 103.78 103.78 29.71
With the nearest neighbours (Å) after each atom.
Element x y z (fractional)
Ba  0.0417  0.0417  0.2923  1 Ge 3.47, 2 Sn 3.56
Ba  0.2088  0.2088  0.8302  3 Ge 3.31-3.64
Ba  0.3309  0.3309  0.5401  3 Ge 3.42-3.58, 1 Sn 3.75
Ba  0.4088  0.4088  0.0620  1 Sn 3.64, 2 Ge 4.00, 2 Ba 4.07
Ba  0.5912  0.5912  0.9380  1 Sn 3.64, 2 Ge 4.00, 2 Ba 4.07
Ba  0.6691  0.6691  0.4599  3 Ge 3.42-3.58, 1 Sn 3.75
Ba  0.7912  0.7912  0.1698  3 Ge 3.31-3.64
Ba  0.9583  0.9583  0.7077  1 Ge 3.47, 2 Sn 3.56
Sn  0.5000  0.5000  0.5000  8 Ba 3.56-3.75
Ge  0.1939  0.1939  0.2229  7 Ba 3.31-3.64
Ge  0.8061  0.8061  0.7771  7 Ba 3.31-3.64



Entry 8:
The following is a GGA-PBE calculation of crystalline TeSI3 at its relaxed geometry, from the Alexandria database.

Output
The calculation puts the energy above the lowest structure with this stoichiometry at 0 meV/atom. The uncorrected energy is -1.86 eV per atom. For the magnetic moment, the calculation gives 2.55 μB per cell. For the formation energy without anion corrections, the calculation gives 251 kJ/mol of formula units.

abc: 5.6254 5.6254 5.6254
angles: 90.00 90.00 90.00
With the nearest neighbours (Å) after each atom.
Element x y z (fractional)
Te  0.0000  0.0000  0.0000  12 I 3.98
S  0.5000  0.5000  0.5000  6 I 2.81
I  0.0000  0.5000  0.5000  2 S 2.81
I  0.5000  0.0000  0.5000  2 S 2.81
I  0.5000  0.5000  0.0000  2 S 2.81



Question: Which of these has the highest magnetic moment?
Answer: YPuBeN3



Question: What is the formula in the fourth record?
Answer: KTlS3